Density functional theory data (PBE) for a relaxed structure of TaP2.

Cell and atoms, written as POSCAR:
```
TaP2
1.0
3.5221 6.1119 2.9315
4.1254 -0.6705 6.3942
7.6151 0.5268 -0.2948
P Ta
4 2
Cartesian
5.7235 2.2381 3.3866
7.7862 1.9028 6.5837
7.4846 5.2940 4.8524
9.5311 2.5015 3.2392
3.8157 1.4921 2.2577
7.6313 2.9841 4.5155
```

---

Density functional theory data (PBE) for a relaxed structure of TaP2.

Cell and atoms, written as POSCAR:
```
TaP2
1.0
0.0000 3.5262 3.5262
3.5262 0.0000 3.5262
3.5262 3.5262 0.0000
Ta P
2 4
Cartesian
1.7631 1.7631 1.7631
0.0000 0.0000 0.0000
2.6446 2.6446 4.4077
2.6446 4.4077 2.6446
4.4077 4.4077 4.4077
4.4077 2.6446 2.6446
```

---

Density functional theory data (PBE) for a relaxed structure of TaZnP2.

Cell and atoms, written as POSCAR:
```
TaZnP2
1.0
-2.6470 -1.9316 -1.4035
2.6258 1.2074 -2.0869
6.1591 -9.9064 2.0178
P Zn Ta
4 2 2
Cartesian
4.5014 -9.5560 0.1348
2.9583 -7.0741 -0.3707
3.1795 -3.5564 -1.1019
1.6364 -1.0746 -1.6074
0.0000 0.0000 0.0000
3.0795 -4.9532 1.0089
4.6193 -7.4298 1.5133
1.5398 -2.4766 0.5044
```

---

no.,V (Å³ per cell),total DFT energy (no corrections) (eV per atom)
1,315,-7.08
2,88,-7.08
3,130,-6.37